1.
A plane-wave DFT calculation with PBE-GGA was carried out for a geometry-optimized SrFeSi2 structure.

Lattice parameters (Å, degrees): 4.5989 4.5989 4.5989 60.00 60.00 60.00
Last column: nearest neighbours and their distance in Å.
Positions (direct):
Si  0.7500  0.7500  0.7500  4 Sr 2.82, 4 Fe 2.82
Si  0.2500  0.2500  0.2500  4 Sr 2.82, 4 Fe 2.82
Fe  0.0000  0.0000  0.0000  8 Si 2.82
Sr  0.5000  0.5000  0.5000  8 Si 2.82

Computed properties:
The density of states at the Fermi level is 2.48 states/eV/f.u. The calculation puts the raw formation energy at 446 meV/atom. The theoretical density is 4.8 g/cm3. The total energy comes out at -4.801 eV/atom. As for the size of the total moment: 0.00 μB per formula unit. The space group is Fm-3m, No. 225.

***

2.
A plane-wave DFT calculation with PBE-GGA was carried out for a geometry-optimized SbPOs2 structure.

Lattice parameters (Å, degrees): 5.6076 5.6076 6.7408 65.42 65.42 90.00
Last column: nearest neighbours and their distance in Å.
Positions (direct):
Sb  0.0000  0.0000  0.0000  4 Os 2.58
Sb  0.7500  0.2500  0.5000  4 Os 2.58
Os  0.5742  0.1250  0.2500  2 P 2.25
Os  0.1758  0.6250  0.2500  2 P 2.25
Os  0.3750  0.4258  0.7500  2 P 2.25
Os  0.8750  0.8242  0.7500  2 P 2.25
P  0.5000  0.5000  0.0000  4 Os 2.25
P  0.2500  0.7500  0.5000  4 Os 2.25

Computed properties:
The density of states at the Fermi level is 2.32 states/eV/f.u. The calculation puts the raw formation energy at 431 meV/atom. The theoretical density is 10.3 g/cm3. The calculation puts the offset from the most stable computed form at 336 meV/atom. The total energy comes out at -7.567 eV/atom. As for the size of the total moment: 0.00 μB per formula unit. The space group is I-42d, No. 122.

***

3.
A plane-wave DFT calculation with PBE-GGA was carried out for a geometry-optimized AgBPd2 structure.

Lattice parameters (Å, degrees): 3.0853 3.0853 7.2025 77.95 77.95 59.91
Last column: nearest neighbours and their distance in Å.
Positions (direct):
Pd  0.2786  0.2786  0.1689  3 B 2.14
Pd  0.0544  0.0544  0.8316  3 B 2.13
B  0.6667  0.6667  0.9999  6 Pd 2.13-2.14
Ag  0.5003  0.5003  0.4996  6 Pd 2.91-2.94, 6 Ag 3.08-3.09

Computed properties:
The density of states at the Fermi level is 0.55 states/eV/f.u. The theoretical density is 9.6 g/cm3. The total energy comes out at -5.115 eV/atom. As for the formation energy from the elements: -136.6 meV per atom. As for the size of the total moment: 0.00 μB per formula unit. The space group is Cm, No. 8.

***

4.
A plane-wave DFT calculation with PBE-GGA was carried out for a geometry-optimized CaSnPd3 structure.

Lattice parameters (Å, degrees): 6.6445 6.6445 6.6445 108.18 129.94 92.64
Last column: nearest neighbours and their distance in Å.
Positions (direct):
Pd  0.5000  0.6888  0.6888  2 Sn 2.73, 5 Pd 2.81-2.94, 2 Ca 3.06
Pd  0.0000  0.6888  0.1888  2 Sn 2.73, 5 Pd 2.81-2.94, 2 Ca 3.06
Pd  0.3072  0.0572  0.7500  2 Sn 2.63, 1 Ca 2.83, 4 Pd 2.85
Pd  0.5000  0.3112  0.3112  2 Sn 2.73, 5 Pd 2.81-2.94, 2 Ca 3.06
Pd  0.6928  0.9428  0.2500  2 Sn 2.63, 1 Ca 2.83, 4 Pd 2.85
Pd  0.0000  0.3112  0.8112  2 Sn 2.73, 5 Pd 2.81-2.94, 2 Ca 3.06
Ca  0.9986  0.7486  0.7500  5 Pd 2.83-3.06
Ca  0.0014  0.2514  0.2500  5 Pd 2.83-3.06
Sn  0.5000  0.0000  0.5000  6 Pd 2.63-2.73
Sn  0.5000  0.5000  0.0000  6 Pd 2.63-2.73

Computed properties:
The density of states at the Fermi level is 2.35 states/eV/f.u. The theoretical density is 7.9 g/cm3. The calculation puts the offset from the most stable computed form at 26 meV/atom. The total energy comes out at -4.893 eV/atom. As for the formation energy from the elements: -576.9 meV per atom. As for the size of the total moment: 0.00 μB per formula unit. The space group is Imma, No. 74.

***

Look up the theoretical density of the third one.
9.6 g/cm3